# 1
A relaxed BaCaIr2 crystal, computed with GGA-PBEsol.

Lattice parameters (Å, degrees): 4.5365 4.5365 4.1768 90.00 90.00 90.00
With the nearest neighbours (Å) after each atom.
Space group P4/mmm (No. 123)
Unique sites:
Ba1 0.0000 0.0000 0.0000 [1 per cell]  8 Ir 3.08, 4 Ca 3.21
Ca1 0.5000 0.5000 0.0000 [1 per cell]  8 Ir 3.08, 4 Ba 3.21
Ir1 0.0000 0.5000 0.5000 [2 per cell]  4 Ca 3.08, 4 Ba 3.08, 4 Ir 3.21

Computed properties:
V in Å³/cell: 86.0
Magnetization in μB per formula unit: 0.00
Formation enthalpy at 0 K in eV per atom: 0.359

# 2
A relaxed Si2TcAg crystal, computed with GGA-PBEsol.

Lattice parameters (Å, degrees): 2.8947 2.8947 24.3116 90.00 90.00 120.00
With the nearest neighbours (Å) after each atom.
Space group R-3m (No. 166, hexagonal axes)
Unique sites:
Si1 0.0000 0.0000 0.2419 [6 per cell]  3 Tc 2.48
Tc1 0.0000 0.0000 0.5000 [3 per cell]  6 Si 2.48
Ag1 0.0000 0.0000 0.0000 [3 per cell]  6 Si 2.78, 6 Ag 2.89

Computed properties:
V in Å³/cell: 176.4
Magnetization in μB per formula unit: 0.00
Formation energy (no corrections) in eV per atom: -0.064

# 3
A relaxed TmAl3Ni2 crystal, computed with GGA-PBEsol.

Lattice parameters (Å, degrees): 5.1734 5.1734 3.9359 90.00 90.00 120.00
With the nearest neighbours (Å) after each atom.
Space group P6/mmm (No. 191)
Unique sites:
Tm1 0.0000 0.0000 0.0000 [1 per cell]  6 Ni 2.99, 12 Al 3.25
Al1 0.0000 0.5000 0.5000 [3 per cell]  4 Ni 2.47, 4 Al 2.59
Ni1 0.3333 0.6667 0.0000 [2 per cell]  6 Al 2.47

Computed properties:
V in Å³/cell: 91.2
Magnetization in μB per formula unit: 0.00
Formation enthalpy at 0 K in eV per atom: -0.630

# 4
A relaxed SrSb2Rh crystal, computed with GGA-PBEsol.

Lattice parameters (Å, degrees): 5.2087 5.2087 17.3226 90.00 90.00 90.00
With the nearest neighbours (Å) after each atom.
Space group I-42d (No. 122)
Unique sites:
Sr1 0.0000 0.0000 0.0000 [4 per cell]  4 Sb 3.21
Sb1 0.1198 0.2500 0.6250 [8 per cell]  2 Rh 2.60, 2 Sb 2.89
Rh1 0.0000 0.0000 0.5000 [4 per cell]  4 Sb 2.60

Computed properties:
V in Å³/cell: 470.0
Magnetization in μB per formula unit: 0.00
Formation energy (no corrections) in eV per atom: -0.303

# 5
A relaxed CrRu2 crystal, computed with GGA-PBEsol.

Lattice parameters (Å, degrees): 5.9226 5.9226 4.4094 90.00 90.00 90.00
With the nearest neighbours (Å) after each atom.
Space group I4/mcm (No. 140)
Unique sites:
Cr1 0.0000 0.0000 0.2500 [4 per cell]  2 Cr 2.20
Ru1 0.1472 0.3528 0.0000 [8 per cell]  1 Ru 2.47, 4 Cr 2.52

Computed properties:
V in Å³/cell: 154.7
Magnetization in μB per formula unit: 0.00
Formation enthalpy at 0 K in eV per atom: 0.123

# 6
A relaxed GeP2ICl crystal, computed with GGA-PBEsol.

Lattice parameters (Å, degrees): 5.0870 5.0870 5.1007 90.00 90.00 90.00
With the nearest neighbours (Å) after each atom.
Space group P4/mmm (No. 123)
Unique sites:
Ge1 0.0000 0.0000 0.0000 [1 per cell]  4 Cl 3.60, 8 P 3.60
P1 0.0000 0.5000 0.5000 [2 per cell]  2 I 2.54
I1 0.5000 0.5000 0.5000 [1 per cell]  4 P 2.54, 2 Cl 2.55
Cl1 0.5000 0.5000 0.0000 [1 per cell]  2 I 2.55

Computed properties:
V in Å³/cell: 132.0
Magnetization in μB per formula unit: 0.00
Formation energy (no corrections) in eV per atom: 1.204

# 7
A relaxed Y2AgP crystal, computed with GGA-PBEsol.

Lattice parameters (Å, degrees): 4.0624 4.0624 5.7404 90.00 90.00 90.00
With the nearest neighbours (Å) after each atom.
Space group P4/mmm (No. 123)
Unique sites:
Y1 0.0000 0.0000 0.0000 [1 per cell]  2 Ag 2.87, 4 P 2.87
Y2 0.5000 0.5000 0.5000 [1 per cell]  2 P 2.87, 4 Ag 2.87
Ag1 0.0000 0.0000 0.5000 [1 per cell]  6 Y 2.87
P1 0.5000 0.5000 0.0000 [1 per cell]  6 Y 2.87

Computed properties:
V in Å³/cell: 94.7
Magnetization in μB per formula unit: 0.00
Formation enthalpy at 0 K in eV per atom: -0.735

# 8
A relaxed Zr7P4 crystal, computed with GGA-PBEsol.

Lattice parameters (Å, degrees): 15.6754 3.5817 14.6528 90.00 104.87 90.00
With the nearest neighbours (Å) after each atom.
Space group C2/m (No. 12)
Unique sites:
Zr1 0.0000 0.0000 0.0000 [2 per cell]  4 P 2.60-2.83
Zr2 0.0000 0.5000 0.5000 [2 per cell]  4 P 2.68-2.76
Zr3 0.0036 0.0000 0.6663 [4 per cell]  5 P 2.64-2.71
Zr4 0.0681 0.5000 0.1668 [4 per cell]  4 P 2.68-2.75, 2 Zr 3.00
Zr5 0.1601 0.5000 0.9693 [4 per cell]  4 P 2.67-2.70
Zr6 0.1767 0.0000 0.5427 [4 per cell]  5 P 2.70-2.97
Zr7 0.1949 0.0000 0.3094 [4 per cell]  4 P 2.61-2.86
Zr8 0.2050 0.0000 0.7965 [4 per cell]  5 P 2.56-2.72
P1 0.0627 0.0000 0.8520 [4 per cell]  7 Zr 2.56-2.68
P2 0.1271 0.5000 0.4001 [4 per cell]  7 Zr 2.61-2.76
P3 0.1305 0.5000 0.6598 [4 per cell]  8 Zr 2.66-2.72
P4 0.1772 0.0000 0.1105 [4 per cell]  8 Zr 2.68-2.86

Computed properties:
V in Å³/cell: 795.1
Magnetization in μB per formula unit: 0.00
Formation enthalpy at 0 K in eV per atom: -1.250

What is the formula in the second record? Si2TcAg